RbCdTePPd | PBE-GGA | optimized geometry

Values from the calculation:
relative energy among the computed polymorphs: 0.122 eV per atom
uncorrected formation energy: -283 meV per atom
uncorrected energy: -17.0 eV/cell
SG: Cm, No. 8
M_tot: 0.00 Bohr magnetons per cell
crystal system: monoclinic

a = 6.7832 Å, b = 6.7832 Å, c = 6.2284 Å
α = 109.23°, β = 109.23°, γ = 30.09°
Atoms (fractional coordinates):
1 Rb 0.0000 0.0000 0.0000
2 Cd 0.7850 0.7850 0.3920
3 Te 0.5117 0.5117 0.5062
4 P 0.7161 0.7161 0.7494
5 Pd 0.2574 0.2574 0.0121